A geometry-optimized PmDyMn structure, computed with GGA-PBE.

As for the total energy: -5.99 eV/atom.

Cell lengths 3.5352, 3.5352, 12.8528 Å; angles 90.00, 90.00, 90.00 degrees
Space group I4mm (No. 107)
Asymmetric unit:
Pm 0.0000 0.0000 0.0000 (multiplicity 2)
Dy 0.0000 0.0000 0.2730 (multiplicity 2)
Mn 0.0000 0.0000 0.6414 (multiplicity 2)

=====

A geometry-optimized RbFeBr3 structure, computed with GGA-PBE.

The formation energy without anion corrections is -82 kJ per mole of atoms.

Cell lengths 8.6114, 8.6114, 15.7656 Å; angles 90.00, 90.00, 120.00 degrees
Space group R3m (No. 160, hexagonal axes)
Asymmetric unit:
Rb 0.0000 0.0000 0.0000 (multiplicity 3)
Fe 0.0000 0.0000 0.7803 (multiplicity 3)
Br 0.0236 0.5118 0.4712 (multiplicity 9)